# AcDyTlPt (PBE, relaxed)
data_AcDyTlPt
_chemical_formula_sum 'Ac4 Dy4 Tl4 Pt4'
_space_group_name_H-M_alt 'F -4 3 m'
_space_group_IT_number 216
_space_group_name_Hall 'F -4 2 3'
_cell_length_a 7.627
_cell_length_b 7.627
_cell_length_c 7.627
_cell_angle_alpha 90.00
_cell_angle_beta 90.00
_cell_angle_gamma 90.00
loop_
_atom_site_label
_atom_site_type_symbol
_atom_site_fract_x
_atom_site_fract_y
_atom_site_fract_z
_atom_site_occupancy
Ac1 Ac 0.000 0.000 0.000 1
Dy1 Dy 0.000 0.000 0.500 1
Tl1 Tl 0.250 0.250 0.750 1
Pt1 Pt 0.250 0.250 0.250 1
# - E_form: -572.6 meV per atom
# - Calculated density: 11.8 Mg/m³

***

# AcDyZnPt (PBE, relaxed)
data_AcDyZnPt
_chemical_formula_sum 'Ac4 Dy4 Zn4 Pt4'
_space_group_name_H-M_alt 'F -4 3 m'
_space_group_IT_number 216
_space_group_name_Hall 'F -4 2 3'
_cell_length_a 7.389
_cell_length_b 7.389
_cell_length_c 7.389
_cell_angle_alpha 90.00
_cell_angle_beta 90.00
_cell_angle_gamma 90.00
loop_
_atom_site_label
_atom_site_type_symbol
_atom_site_fract_x
_atom_site_fract_y
_atom_site_fract_z
_atom_site_occupancy
Ac1 Ac 0.000 0.000 0.000 1
Dy1 Dy 0.000 0.000 0.500 1
Zn1 Zn 0.250 0.250 0.750 1
Pt1 Pt 0.250 0.250 0.250 1
# - E_form: -636.0 meV per atom
# - Calculated density: 10.7 Mg/m³

***

# Ac2DyZn3Pt4 (PBE, relaxed)
data_Ac2DyZn3Pt4
_chemical_formula_sum 'Ac2 Dy1 Zn3 Pt4'
_space_group_name_H-M_alt 'P -4 m 2'
_space_group_IT_number 115
_space_group_name_Hall 'P -4 -2'
_cell_length_a 4.323
_cell_length_b 4.323
_cell_length_c 11.691
_cell_angle_alpha 90.00
_cell_angle_beta 90.00
_cell_angle_gamma 90.00
loop_
_atom_site_label
_atom_site_type_symbol
_atom_site_fract_x
_atom_site_fract_y
_atom_site_fract_z
_atom_site_occupancy
Ac1 Ac 0.000 0.500 0.227 1
Dy1 Dy 0.000 0.000 0.500 1
Zn1 Zn 0.000 0.500 0.879 1
Zn2 Zn 0.500 0.500 0.500 1
Pt1 Pt 0.000 0.000 0.000 1
Pt2 Pt 0.000 0.500 0.656 1
Pt3 Pt 0.500 0.500 0.000 1
# - E_form: -855.5 meV per atom
# - Calculated density: 12.1 Mg/m³

***

# AcDyPu (PBE, relaxed)
data_AcDyPu
_chemical_formula_sum 'Ac2 Dy2 Pu2'
_space_group_name_H-M_alt 'I 4 m m'
_space_group_IT_number 107
_space_group_name_Hall 'I 4 -2'
_cell_length_a 3.698
_cell_length_b 3.698
_cell_length_c 15.095
_cell_angle_alpha 90.00
_cell_angle_beta 90.00
_cell_angle_gamma 90.00
loop_
_atom_site_label
_atom_site_type_symbol
_atom_site_fract_x
_atom_site_fract_y
_atom_site_fract_z
_atom_site_occupancy
Ac1 Ac 0.000 0.000 0.000 1
Dy1 Dy 0.000 0.000 0.677 1
Pu1 Pu 0.000 0.000 0.328 1
# - Distance to the lowest polymorph of the same formula: 0.00 eV/f.u.
# - E_form: 179.4 meV per atom
# - Calculated density: 10.2 Mg/m³

***

# AcDy2Pu (PBE, relaxed)
data_AcDy2Pu
_chemical_formula_sum 'Ac1 Dy2 Pu1'
_space_group_name_H-M_alt 'P 4/m m m'
_space_group_IT_number 123
_space_group_name_Hall '-P 4 2'
_cell_length_a 5.094
_cell_length_b 5.094
_cell_length_c 5.153
_cell_angle_alpha 90.00
_cell_angle_beta 90.00
_cell_angle_gamma 90.00
loop_
_atom_site_label
_atom_site_type_symbol
_atom_site_fract_x
_atom_site_fract_y
_atom_site_fract_z
_atom_site_occupancy
Ac1 Ac 0.000 0.000 0.000 1
Dy1 Dy 0.000 0.500 0.500 1
Pu1 Pu 0.500 0.500 0.000 1
# - Distance to the lowest polymorph of the same formula: 0.18 eV/f.u.
# - E_form: 189.9 meV per atom
# - Calculated density: 9.9 Mg/m³

***

# AcDy2Pu (PBE, relaxed)
data_AcDy2Pu
_chemical_formula_sum 'Ac3 Dy6 Pu3'
_space_group_name_H-M_alt 'R 3 m'
_space_group_IT_number 160
_space_group_name_Hall 'R 3 -2"'
_cell_length_a 3.6472
_cell_length_b 3.6472
_cell_length_c 35.1305
_cell_angle_alpha 90.00
_cell_angle_beta 90.00
_cell_angle_gamma 120.00
loop_
_atom_site_label
_atom_site_type_symbol
_atom_site_fract_x
_atom_site_fract_y
_atom_site_fract_z
_atom_site_occupancy
Ac1 Ac 0.0000 0.0000 0.0000 1
Dy1 Dy 0.0000 0.0000 0.5775 1
Dy2 Dy 0.0000 0.0000 0.7545 1
Pu1 Pu 0.0000 0.0000 0.1655 1
# - Distance to the lowest polymorph of the same formula: 0.07 eV/f.u.
# - E_form: 163.7 meV per atom
# - Calculated density: 9.8 Mg/m³

***

# AcDyPu (PBE, relaxed)
data_AcDyPu
_chemical_formula_sum 'Ac4 Dy4 Pu4'
_space_group_name_H-M_alt 'P 1 21/c 1'
_space_group_IT_number 14
_space_group_name_Hall '-P 2ybc'
_cell_length_a 7.242
_cell_length_b 6.238
_cell_length_c 11.374
_cell_angle_alpha 90.00
_cell_angle_beta 128.08
_cell_angle_gamma 90.00
loop_
_atom_site_label
_atom_site_type_symbol
_atom_site_fract_x
_atom_site_fract_y
_atom_site_fract_z
_atom_site_occupancy
Ac1 Ac 0.041 0.001 0.171 1
Dy1 Dy 0.309 0.501 0.170 1
Pu1 Pu 0.500 0.249 0.000 1
# - Distance to the lowest polymorph of the same formula: 0.11 eV/f.u.
# - E_form: 215.7 meV per atom
# - Calculated density: 10.4 Mg/m³

***

# AcDyPu (PBE, relaxed)
data_AcDyPu
_chemical_formula_sum 'Ac1 Dy1 Pu1'
_space_group_name_H-M_alt 'P 3 m 1'
_space_group_IT_number 156
_space_group_name_Hall 'P 3 -2"'
_cell_length_a 5.8668
_cell_length_b 5.8668
_cell_length_c 3.4630
_cell_angle_alpha 90.00
_cell_angle_beta 90.00
_cell_angle_gamma 120.00
loop_
_atom_site_label
_atom_site_type_symbol
_atom_site_fract_x
_atom_site_fract_y
_atom_site_fract_z
_atom_site_occupancy
Ac1 Ac 0.0000 0.0000 0.0000 1
Dy1 Dy 0.3333 0.6667 0.9983 1
Pu1 Pu 0.6667 0.3333 0.4993 1
# - Distance to the lowest polymorph of the same formula: 0.43 eV/f.u.
# - E_form: 321.2 meV per atom
# - Calculated density: 10.2 Mg/m³

***

# AcDy2Pu (PBE, relaxed)
data_AcDy2Pu
_chemical_formula_sum 'Ac3 Dy6 Pu3'
_space_group_name_H-M_alt 'R -3 m'
_space_group_IT_number 166
_space_group_name_Hall '-R 3 2"'
_cell_length_a 3.5431
_cell_length_b 3.5431
_cell_length_c 37.5968
_cell_angle_alpha 90.00
_cell_angle_beta 90.00
_cell_angle_gamma 120.00
loop_
_atom_site_label
_atom_site_type_symbol
_atom_site_fract_x
_atom_site_fract_y
_atom_site_fract_z
_atom_site_occupancy
Ac1 Ac 0.0000 0.0000 0.0000 1
Dy1 Dy 0.0000 0.0000 0.0939 1
Pu1 Pu 0.0000 0.0000 0.5000 1
# - Distance to the lowest polymorph of the same formula: 0.53 eV/f.u.
# - E_form: 277.6 meV per atom
# - Calculated density: 9.7 Mg/m³

***

# AcDy2Pu (PBE, relaxed)
data_AcDy2Pu
_chemical_formula_sum 'Ac1 Dy2 Pu1'
_space_group_name_H-M_alt 'P 4/m m m'
_space_group_IT_number 123
_space_group_name_Hall '-P 4 2'
_cell_length_a 3.662
_cell_length_b 3.662
_cell_length_c 10.012
_cell_angle_alpha 90.00
_cell_angle_beta 90.00
_cell_angle_gamma 90.00
loop_
_atom_site_label
_atom_site_type_symbol
_atom_site_fract_x
_atom_site_fract_y
_atom_site_fract_z
_atom_site_occupancy
Ac1 Ac 0.000 0.000 0.000 1
Dy1 Dy 0.500 0.500 0.272 1
Pu1 Pu 0.000 0.000 0.500 1
# - Distance to the lowest polymorph of the same formula: 0.00 eV/f.u.
# - E_form: 145.2 meV per atom
# - Calculated density: 9.8 Mg/m³

***

# AcDyPu4 (PBE, relaxed)
data_AcDyPu4
_chemical_formula_sum 'Ac4 Dy4 Pu16'
_space_group_name_H-M_alt 'F -4 3 m'
_space_group_IT_number 216
_space_group_name_Hall 'F -4 2 3'
_cell_length_a 8.929
_cell_length_b 8.929
_cell_length_c 8.929
_cell_angle_alpha 90.00
_cell_angle_beta 90.00
_cell_angle_gamma 90.00
loop_
_atom_site_label
_atom_site_type_symbol
_atom_site_fract_x
_atom_site_fract_y
_atom_site_fract_z
_atom_site_occupancy
Ac1 Ac 0.000 0.000 0.000 1
Dy1 Dy 0.250 0.250 0.750 1
Pu1 Pu 0.125 0.125 0.375 1
# - E_form: 250.4 meV per atom
# - Calculated density: 12.7 Mg/m³

***

# Ac2DyPuSe4 (PBE, relaxed)
data_Ac2DyPuSe4
_chemical_formula_sum 'Ac2 Dy1 Pu1 Se4'
_space_group_name_H-M_alt 'P 1 2/m 1'
_space_group_IT_number 10
_space_group_name_Hall '-P 2y'
_cell_length_a 7.385
_cell_length_b 4.245
_cell_length_c 7.531
_cell_angle_alpha 90.00
_cell_angle_beta 108.90
_cell_angle_gamma 90.00
loop_
_atom_site_label
_atom_site_type_symbol
_atom_site_fract_x
_atom_site_fract_y
_atom_site_fract_z
_atom_site_occupancy
Ac1 Ac 0.000 0.000 0.000 1
Ac2 Ac 0.500 0.500 0.000 1
Dy1 Dy 0.000 0.500 0.500 1
Pu1 Pu 0.500 0.000 0.500 1
Se1 Se 0.238 0.000 0.724 1
Se2 Se 0.255 0.500 0.275 1
# - Formation energy (no corrections): -1.747 eV/atom
# - Calculated density: 8.7 Mg/m³

***

Which value of calculated density does entry 4 give?
10.2 Mg/m³

***

Which of these has the lowest calculated density?
Ac2DyPuSe4